(1)
A geometry-optimized Nb2MoH structure, computed with PBE-GGA.

a b c (Å): 3.0962 3.0962 6.0095
angles (deg): 90.00 90.00 90.00
Last column: nearest neighbours and their distance in Å.
Sites, in units of the cell vectors:
1 Nb 0.0000 0.0000 0.2259  4 H 2.58, 1 Nb 2.72, 4 Mo 2.74
2 Nb 0.0000 0.0000 0.7741  4 H 2.58, 1 Nb 2.72, 4 Mo 2.74
3 Mo 0.5000 0.5000 0.5000  8 Nb 2.74, 2 H 3.00
4 H 0.5000 0.5000 0.0000  8 Nb 2.58

- spin magnetization (μB/f.u.) = 0.0
- raw total energy (eV/cell) = -32.7
- N(E_F) (states/eV per cell) = 2.558

(2)
A geometry-optimized NbMo2H4 structure, computed with PBE-GGA.

a b c (Å): 5.6242 5.6242 5.6242
angles (deg): 140.73 140.73 56.74
Last column: nearest neighbours and their distance in Å.
Sites, in units of the cell vectors:
1 Nb 0.0000 0.0000 0.0000  6 H 1.86-1.89
2 Mo 0.3822 0.3822 0.0000  1 H 1.93
3 Mo 0.6178 0.6178 0.0000  1 H 1.93
4 H 0.0000 0.5000 0.5000  2 Nb 1.89
5 H 0.1876 0.1876 0.0000  1 Nb 1.86, 1 Mo 1.93
6 H 0.5000 0.0000 0.5000  2 Nb 1.89
7 H 0.8124 0.8124 0.0000  1 Nb 1.86, 1 Mo 1.93

- spin magnetization (μB/f.u.) = 0.0
- raw total energy (eV/cell) = -42.0
- N(E_F) (states/eV per cell) = 2.246

(3)
A geometry-optimized NbMoH4 structure, computed with PBE-GGA.

a b c (Å): 5.5094 5.4999 4.4680
angles (deg): 66.17 65.94 47.89
Last column: nearest neighbours and their distance in Å.
Sites, in units of the cell vectors:
1 Nb 0.1250 0.1250 0.1250  8 H 1.97
2 Nb 0.8750 0.8750 0.8750  8 H 1.97
3 Mo 0.3750 0.3750 0.3750  8 H 1.91-1.92
4 Mo 0.6250 0.6250 0.6250  8 H 1.91-1.92
5 H 0.0004 0.5003 0.2601  2 Mo 1.91-1.92, 2 Nb 1.97, 1 H 2.14
6 H 0.9996 0.4997 0.7399  2 Mo 1.91-1.92, 2 Nb 1.97, 1 H 2.14
7 H 0.2601 0.7392 0.0004  2 Mo 1.91-1.92, 2 Nb 1.97, 1 H 2.14
8 H 0.2608 0.7399 0.4997  2 Mo 1.91-1.92, 2 Nb 1.97, 1 H 2.14
9 H 0.4997 0.9996 0.2608  2 Mo 1.91-1.92, 2 Nb 1.97, 1 H 2.14
10 H 0.5003 0.0004 0.7392  2 Mo 1.91-1.92, 2 Nb 1.97, 1 H 2.14
11 H 0.7392 0.2601 0.5003  2 Mo 1.91-1.92, 2 Nb 1.97, 1 H 2.14
12 H 0.7399 0.2608 0.9996  2 Mo 1.91-1.92, 2 Nb 1.97, 1 H 2.14

- spin magnetization (μB/f.u.) = 0.0
- raw total energy (eV/cell) = -69.9
- N(E_F) (states/eV per cell) = 5.231

(4)
A geometry-optimized NbMoH3 structure, computed with PBE-GGA.

a b c (Å): 3.5130 3.5130 3.5130
angles (deg): 90.00 90.00 90.00
Last column: nearest neighbours and their distance in Å.
Sites, in units of the cell vectors:
1 Nb 0.0000 0.0000 0.0000  12 H 2.48
2 Mo 0.5000 0.5000 0.5000  6 H 1.76
3 H 0.0000 0.5000 0.5000  2 Mo 1.76
4 H 0.5000 0.0000 0.5000  2 Mo 1.76
5 H 0.5000 0.5000 0.0000  2 Mo 1.76

- spin magnetization (μB/f.u.) = 0.0
- raw total energy (eV/cell) = -29.8
- N(E_F) (states/eV per cell) = 3.419

(5)
A geometry-optimized NbMo3H structure, computed with PBE-GGA.

a b c (Å): 4.7670 4.7670 4.7670
angles (deg): 90.00 90.00 90.00
Last column: nearest neighbours and their distance in Å.
Sites, in units of the cell vectors:
1 Nb 0.0000 0.0000 0.0000  6 Mo 2.38
2 Mo 0.0000 0.0000 0.5000  2 Nb 2.38
3 Mo 0.0000 0.5000 0.0000  2 Nb 2.38
4 Mo 0.5000 0.0000 0.0000  2 Nb 2.38
5 H 0.5000 0.5000 0.5000  12 Mo 3.37

- spin magnetization (μB/f.u.) = 0.0
- raw total energy (eV/cell) = -33.1
- N(E_F) (states/eV per cell) = 5.578

(6)
A geometry-optimized NbMoH3 structure, computed with PBE-GGA.

a b c (Å): 6.5291 6.5291 4.6756
angles (deg): 100.32 100.32 106.06
Last column: nearest neighbours and their distance in Å.
Sites, in units of the cell vectors:
1 Nb 0.0921 0.2563 0.0669  5 H 2.03-2.21
2 Nb 0.2563 0.0921 0.5669  5 H 2.03-2.21
3 Nb 0.7437 0.9079 0.4331  5 H 2.03-2.21
4 Nb 0.9079 0.7437 0.9331  5 H 2.03-2.21
5 Mo 0.2999 0.7001 0.2500  4 H 1.84-1.88
6 Mo 0.4225 0.5775 0.7500  4 H 1.90-2.00
7 Mo 0.5775 0.4225 0.2500  4 H 1.90-2.00
8 Mo 0.7001 0.2999 0.7500  4 H 1.84-1.88
9 H 0.0092 0.8043 0.3850  3 Nb 2.03-2.06, 1 H 2.20
10 H 0.1391 0.5590 0.8648  2 Mo 1.84-2.00, 1 H 1.96
11 H 0.1580 0.4954 0.4459  2 Mo 1.88-1.90, 2 H 1.96-2.10, 1 Nb 2.03
12 H 0.1957 0.9908 0.1150  3 Nb 2.03-2.06, 1 H 2.20
13 H 0.4410 0.8609 0.6352  2 Mo 1.84-2.00, 1 H 1.96
14 H 0.4954 0.1580 0.9459  2 Mo 1.88-1.90, 2 H 1.96-2.10, 1 Nb 2.03
15 H 0.5046 0.8420 0.0541  2 Mo 1.88-1.90, 2 H 1.96-2.10, 1 Nb 2.03
16 H 0.5590 0.1391 0.3648  2 Mo 1.84-2.00, 1 H 1.96
17 H 0.8043 0.0092 0.8850  3 Nb 2.03-2.06, 1 H 2.20
18 H 0.8420 0.5046 0.5541  2 Mo 1.88-1.90, 2 H 1.96-2.10, 1 Nb 2.03
19 H 0.8609 0.4410 0.1352  2 Mo 1.84-2.00, 1 H 1.96
20 H 0.9908 0.1957 0.6150  3 Nb 2.03-2.06, 1 H 2.20

- spin magnetization (μB/f.u.) = 0.0
- raw total energy (eV/cell) = -121.7
- N(E_F) (states/eV per cell) = 8.904